Record 1
DFT (GGA-PBE) results for an optimized crystal structure of NdClO.

Cell: 4.4078 4.4078 4.4078 Å, 60.00 60.00 60.00°
With the nearest neighbours (Å) after each atom.
Fractional positions:
1 Cl 0.0000 0.0000 0.0000  4 Nd 2.70
2 O 0.5000 0.5000 0.5000  4 Nd 2.70
3 Nd 0.2500 0.2500 0.2500  4 O 2.70, 4 Cl 2.70

- Crystal system: cubic
- E: -0.458 Ry/atom
- Formation energy without anion corrections: -2.375 eV per atom

***

Record 2
DFT (GGA-PBE) results for an optimized crystal structure of DyErOsPd.

Cell: 4.8529 4.8529 4.8529 Å, 60.00 60.00 60.00°
With the nearest neighbours (Å) after each atom.
Fractional positions:
1 Pd 0.5000 0.5000 0.5000  4 Er 2.97, 4 Dy 2.97
2 Dy 0.2500 0.2500 0.2500  4 Pd 2.97, 4 Os 2.97
3 Os 0.0000 0.0000 0.0000  4 Dy 2.97, 4 Er 2.97
4 Er 0.7500 0.7500 0.7500  4 Os 2.97, 4 Pd 2.97

- ΔH_f (0 K): -569 meV/atom
- Crystal system: cubic
- E: -0.512 Ry/atom

***

Record 3
DFT (GGA-PBE) results for an optimized crystal structure of CsRb2F3.

Cell: 4.1362 5.8662 7.1752 Å, 114.13 106.75 90.00°
With the nearest neighbours (Å) after each atom.
Fractional positions:
1 F 0.1761 0.6761 0.8522  4 Rb 2.83-2.93, 2 Cs 3.01
2 F 0.8239 0.3239 0.1478  4 Rb 2.83-2.93, 2 Cs 3.01
3 F 0.5000 0.0000 0.5000  2 Cs 2.93, 4 Rb 2.94
4 Rb 0.1682 0.1682 0.8365  6 F 2.83-2.94
5 Rb 0.8318 0.8318 0.1635  6 F 2.83-2.94
6 Cs 0.5000 0.5000 0.5000  6 F 2.93-3.01

- Crystal system: orthorhombic
- E: -0.298 Ry/atom
- E above lowest polymorph: 0 meV per atom
- Formation energy without anion corrections: -2.656 eV per atom

***

Record 4
DFT (GGA-PBE) results for an optimized crystal structure of Zr2TcRu.

Cell: 9.4540 9.4540 9.4540 Å, 18.40 18.40 18.40°
With the nearest neighbours (Å) after each atom.
Fractional positions:
1 Ru 0.4938 0.4938 0.4938  3 Tc 2.61, 3 Zr 2.91
2 Zr 0.0051 0.0051 0.0051  3 Tc 2.96, 9 Zr 3.02-3.16
3 Zr 0.2439 0.2439 0.2439  3 Ru 2.91, 9 Zr 3.02-3.16
4 Tc 0.7573 0.7573 0.7573  3 Ru 2.61

- ΔH_f (0 K): 207 meV/atom
- Crystal system: trigonal
- E: -0.660 Ry/atom

***

Record 5
DFT (GGA-PBE) results for an optimized crystal structure of Ce2SiAu3.

Cell: 3.6662 4.5286 8.0892 Å, 90.00 90.00 90.00°
With the nearest neighbours (Å) after each atom.
Fractional positions:
1 Si 0.5000 0.5000 0.3286  3 Au 2.55
2 Au 0.5000 0.5000 0.6441  1 Si 2.55, 2 Au 2.77
3 Au 0.5000 0.0000 0.8413  3 Au 2.77
4 Au 0.5000 0.0000 0.1840  2 Si 2.55, 1 Au 2.77
5 Ce 0.0000 0.5000 0.0018  10 Au 3.19-3.43, 2 Si 3.22
6 Ce 0.0000 0.0000 0.5002  8 Au 3.14-3.31, 4 Si 3.23

- Crystal system: orthorhombic
- E: -0.383 Ry/atom
- Formation energy without anion corrections: -0.690 eV per atom

***

Record 6
DFT (GGA-PBE) results for an optimized crystal structure of CeTeSe.

Cell: 3.9628 3.9628 11.4383 Å, 99.98 99.98 90.00°
With the nearest neighbours (Å) after each atom.
Fractional positions:
1 Se 0.5610 0.5610 0.1220  1 Se 2.71, 1 Te 3.03
2 Se 0.4390 0.4390 0.8780  1 Se 2.71, 1 Te 3.03
3 Ce 0.1253 0.1253 0.2507  4 Se 3.14, 4 Te 3.23
4 Ce 0.8747 0.8747 0.7493  4 Se 3.14, 4 Te 3.23
5 Te 0.6975 0.6975 0.3950  1 Se 3.03, 4 Ce 3.23
6 Te 0.3025 0.3025 0.6050  1 Se 3.03, 4 Ce 3.23

- Crystal system: tetragonal
- E: -0.398 Ry/atom
- E above lowest polymorph: 164 meV per atom
- Formation energy without anion corrections: -1.235 eV per atom

***

Record 7
DFT (GGA-PBE) results for an optimized crystal structure of Nd4YSe5.

Cell: 4.1965 4.1965 15.2137 Å, 97.93 97.93 90.00°
With the nearest neighbours (Å) after each atom.
Fractional positions:
1 Se 0.7026 0.7026 0.4051  6 Nd 2.97-3.04
2 Se 0.0960 0.0960 0.1920  1 Y 2.87, 5 Nd 2.97
3 Se 0.9040 0.9040 0.8080  1 Y 2.87, 5 Nd 2.97
4 Se 0.2974 0.2974 0.5949  6 Nd 2.97-3.04
5 Se 0.5000 0.5000 0.0000  4 Y 2.97, 2 Nd 3.04
6 Nd 0.3981 0.3981 0.7963  6 Se 2.97-3.04
7 Nd 0.8045 0.8045 0.6089  6 Se 2.97-3.04
8 Nd 0.6019 0.6019 0.2037  6 Se 2.97-3.04
9 Nd 0.1955 0.1955 0.3911  6 Se 2.97-3.04
10 Y 0.0000 0.0000 0.0000  6 Se 2.87-2.97

- Crystal system: tetragonal
- E: -0.449 Ry/atom
- Formation energy without anion corrections: -1.819 eV per atom

***

Record 8
DFT (GGA-PBE) results for an optimized crystal structure of Sc2Be2In.

Cell: 6.6315 6.6315 3.8941 Å, 90.00 90.00 90.00°
With the nearest neighbours (Å) after each atom.
Fractional positions:
1 Sc 0.3318 0.1682 0.5000  6 Be 2.74-2.80
2 Sc 0.6682 0.8318 0.5000  6 Be 2.74-2.80
3 Sc 0.8318 0.3318 0.5000  6 Be 2.74-2.80
4 Sc 0.1682 0.6682 0.5000  6 Be 2.74-2.80
5 In 0.5000 0.5000 0.0000  4 Be 2.65
6 In 0.0000 0.0000 0.0000  4 Be 2.65
7 Be 0.8824 0.6176 0.0000  1 Be 2.21
8 Be 0.6176 0.1176 0.0000  1 Be 2.21
9 Be 0.1176 0.3824 0.0000  1 Be 2.21
10 Be 0.3824 0.8824 0.0000  1 Be 2.21

- ΔH_f (0 K): -217 meV/atom
- Crystal system: tetragonal
- E: -0.352 Ry/atom